## SmTm2Pu (GGA-PBE)

Data for SmTm2Pu after structural relaxation.

Values from the calculation:
E: -6.901 eV/atom
Excess energy over the best structure of this formula in the dataset: 5 meV/atom
SG: R3m, No. 160
Energy relative to the elements: 0.0976 eV/atom

a = 3.515 Å, b = 3.515 Å, c = 34.040 Å
α = 90.00°, β = 90.00°, γ = 120.00°
Sites, in units of the cell vectors:
Sm: 0.000 0.000 0.000
Sm: 0.333 0.667 0.667
Sm: 0.667 0.333 0.333
Tm: 0.000 0.000 0.249
Tm: 0.000 0.000 0.419
Tm: 0.333 0.667 0.086
Tm: 0.333 0.667 0.915
Tm: 0.667 0.333 0.582
Tm: 0.667 0.333 0.753
Pu: 0.000 0.000 0.834
Pu: 0.333 0.667 0.501
Pu: 0.667 0.333 0.168